*i*
TlSbMo (GGA-PBE, relaxed); volume = 68 Å³/cell
1.0
3.3506 0.0000 0.0000
-1.6753 2.9017 0.0000
0.0000 0.0000 7.0213
Tl Sb Mo
1 1 1
Direct
0.0000 0.0000 0.0000
0.6667 0.3333 0.5934
0.3333 0.6667 0.3224

***

*ii*
TlSbMo (GGA-PBE, relaxed); volume = 65 Å³/cell
1.0
5.0125 0.0000 0.0000
-2.5062 4.3409 0.0000
0.0000 0.0000 3.0101
Tl Sb Mo
1 1 1
Direct
0.0000 0.0000 0.0000
0.3333 0.6667 0.5000
0.6667 0.3333 0.5000

***

Which structure is most stable? *i*, by 273 meV per atom over the runner-up.

***

*i*
Tl3SbMo (GGA-PBE, relaxed); volume = 195 Å³/cell
1.0
5.8013 0.0000 0.0000
0.0000 5.8013 0.0000
0.0000 0.0000 5.8013
Tl Sb Mo
3 1 1
Direct
0.0000 0.0000 0.5000
0.0000 0.5000 0.0000
0.5000 0.0000 0.0000
0.0000 0.0000 0.0000
0.5000 0.5000 0.5000

***

*ii*
Tl3SbMo (GGA-PBE, relaxed); volume = 163 Å³/cell
1.0
5.4640 0.0000 0.0000
0.0000 5.4640 0.0000
0.0000 0.0000 5.4640
Tl Sb Mo
3 1 1
Direct
0.0000 0.0000 0.5000
0.0000 0.5000 0.0000
0.5000 0.0000 0.0000
0.5000 0.5000 0.5000
0.0000 0.0000 0.0000

***

Which structure is most stable? *ii*, by 476 meV per atom over the runner-up.